# 1
ZnB3Cl (PBE, relaxed); relative energy among the computed polymorphs = 0 kJ/mol of formula units; total magnetization = 0.0 Bohr magnetons per cell; DFT total energy = -2.766 eV per atom; formation energy from raw total energies = 1.865 eV per atom
1.0
4.200 0.000 0.000
0.000 4.200 0.000
0.000 0.000 4.200
Zn B Cl
1 3 1
Direct
0.000 0.000 0.000 Zn
0.000 0.000 0.500 B
0.000 0.500 0.000 B
0.500 0.000 0.000 B
0.500 0.500 0.500 Cl

# 2
ZnB2Cl8 (PBE, relaxed); relative energy among the computed polymorphs = 7 kJ/mol of formula units; total magnetization = 0.0 Bohr magnetons per cell; DFT total energy = -3.601 eV per atom; formation energy from raw total energies = -0.928 eV per atom
1.0
5.483 -4.958 0.000
5.483 4.958 0.000
-0.305 0.000 5.607
Zn B Cl
1 2 8
Direct
0.000 0.000 0.000 Zn
0.203 0.203 0.651 B
0.797 0.797 0.349 B
0.037 0.733 0.235 Cl
0.197 0.197 0.320 Cl
0.267 0.963 0.765 Cl
0.359 0.359 0.764 Cl
0.641 0.641 0.236 Cl
0.733 0.037 0.235 Cl
0.803 0.803 0.680 Cl
0.963 0.267 0.765 Cl

# 3
ZnB3Cl (PBE, relaxed); relative energy among the computed polymorphs = 222 kJ/mol of formula units; total magnetization = 0.0 Bohr magnetons per cell; DFT total energy = -2.306 eV per atom; formation energy from raw total energies = 2.325 eV per atom
1.0
3.904 0.000 0.000
0.000 3.904 0.000
0.000 0.000 3.904
Zn B Cl
1 3 1
Direct
0.000 0.000 0.000 Zn
0.000 0.500 0.500 B
0.500 0.000 0.500 B
0.500 0.500 0.000 B
0.500 0.500 0.500 Cl

# 4
ZnBCl (PBE, relaxed); total magnetization = 0.0 Bohr magnetons per cell; DFT total energy = -3.481 eV per atom; formation energy from raw total energies = -0.215 eV per atom
1.0
2.873 -1.628 0.000
2.873 1.628 0.000
-0.538 0.000 10.382
Zn B Cl
2 2 2
Direct
0.147 0.147 0.328 Zn
0.853 0.853 0.672 Zn
0.344 0.344 0.504 B
0.656 0.656 0.496 B
0.164 0.164 0.819 Cl
0.836 0.836 0.181 Cl

# 5
ZnB2Cl8 (PBE, relaxed); relative energy among the computed polymorphs = 0 kJ/mol of formula units; total magnetization = 0.0 Bohr magnetons per cell; DFT total energy = -3.607 eV per atom; formation energy from raw total energies = -0.935 eV per atom
1.0
8.404 -4.379 0.000
8.404 4.379 0.000
-6.147 0.000 8.627
Zn B Cl
2 4 16
Direct
0.017 0.983 0.750 Zn
0.983 0.017 0.250 Zn
0.142 0.690 0.461 B
0.310 0.858 0.039 B
0.690 0.142 0.961 B
0.858 0.310 0.539 B
0.087 0.203 0.512 Cl
0.102 0.716 0.277 Cl
0.175 0.732 0.866 Cl
0.203 0.087 0.012 Cl
0.258 0.454 0.441 Cl
0.268 0.825 0.634 Cl
0.284 0.898 0.223 Cl
0.454 0.258 0.941 Cl
0.546 0.742 0.059 Cl
0.716 0.102 0.777 Cl
0.732 0.175 0.366 Cl
0.742 0.546 0.559 Cl
0.797 0.913 0.988 Cl
0.825 0.268 0.134 Cl
0.898 0.284 0.723 Cl
0.913 0.797 0.488 Cl

# 6
ZnBCl2 (PBE, relaxed); relative energy among the computed polymorphs = 193 kJ/mol of formula units; total magnetization = 0.0 Bohr magnetons per cell; DFT total energy = -2.098 eV per atom; formation energy from raw total energies = 0.813 eV per atom
1.0
0.000 3.309 3.309
3.309 0.000 3.309
3.309 3.309 0.000
Zn B Cl
1 1 2
Direct
0.000 0.000 0.000 Zn
0.500 0.500 0.500 B
0.250 0.250 0.250 Cl
0.750 0.750 0.750 Cl

# 7
Zr2BCl (PBE, relaxed); relative energy among the computed polymorphs = 22 kJ/mol of formula units; total magnetization = 0.0 Bohr magnetons per cell; DFT total energy = -6.578 eV per atom; formation energy from raw total energies = -0.173 eV per atom
1.0
0.000 3.167 3.167
3.167 0.000 3.167
3.167 3.167 0.000
Zr B Cl
2 1 1
Direct
0.250 0.250 0.250 Zr
0.750 0.750 0.750 Zr
0.000 0.000 0.000 B
0.500 0.500 0.500 Cl

# 8
ZrBCl3 (PBE, relaxed); relative energy among the computed polymorphs = 0 kJ/mol of formula units; total magnetization = 1.2 Bohr magnetons per cell; DFT total energy = -4.201 eV per atom; formation energy from raw total energies = -0.048 eV per atom
1.0
5.054 0.000 0.000
0.000 5.054 0.000
0.000 0.000 5.054
Zr B Cl
1 1 3
Direct
0.000 0.000 0.000 Zr
0.500 0.500 0.500 B
0.000 0.000 0.500 Cl
0.000 0.500 0.000 Cl
0.500 0.000 0.000 Cl